# 1
Entry from the Alexandria database: Pm5NdTl6 after structural relaxation (PBE).

```
data_Pm5NdTl6
_chemical_formula_sum 'Pm5 Nd1 Tl6'
_space_group_name_H-M_alt 'P 1'
_space_group_IT_number 1
_cell_length_a 8.7232
_cell_length_b 8.7232
_cell_length_c 7.7106
_cell_angle_alpha 90.00
_cell_angle_beta 90.00
_cell_angle_gamma 143.15
loop_
_space_group_symop_operation_xyz
'x,y,z'
loop_
_atom_site_label
_atom_site_fract_x
_atom_site_fract_y
_atom_site_fract_z
_atom_site_occupancy
Pm1 0.0000 0.0000 0.0000 1
Pm2 0.3332 0.6668 0.5000 1
Pm3 0.3339 0.6661 0.0000 1
Pm4 0.6661 0.3339 0.0000 1
Pm5 0.6668 0.3332 0.5000 1
Nd1 0.0000 0.0000 0.5000 1
Tl1 0.1673 0.8327 0.2490 1
Tl2 0.1673 0.8327 0.7510 1
Tl3 0.5000 0.5000 0.2493 1
Tl4 0.5000 0.5000 0.7507 1
Tl5 0.8327 0.1673 0.2490 1
Tl6 0.8327 0.1673 0.7510 1
```

Results
final energy: -3.948 eV per atom
ΔH_f (0 K): -388 meV per atom

# 2
Entry from the Alexandria database: Li15Zn2Au2 after structural relaxation (PBE).

```
data_Li15Zn2Au2
_chemical_formula_sum 'Li15 Zn2 Au2'
_space_group_name_H-M_alt 'P 1'
_space_group_IT_number 1
_cell_length_a 7.4097
_cell_length_b 7.4097
_cell_length_c 7.4097
_cell_angle_alpha 64.13
_cell_angle_beta 64.13
_cell_angle_gamma 64.13
loop_
_space_group_symop_operation_xyz
'x,y,z'
loop_
_atom_site_label
_atom_site_fract_x
_atom_site_fract_y
_atom_site_fract_z
_atom_site_occupancy
Li1 0.0000 0.0000 0.5000 1
Li2 0.0000 0.3046 0.6954 1
Li3 0.0000 0.5000 0.0000 1
Li4 0.0000 0.6954 0.3046 1
Li5 0.1933 0.5607 0.5607 1
Li6 0.3046 0.0000 0.6954 1
Li7 0.3046 0.6954 0.0000 1
Li8 0.4393 0.4393 0.8067 1
Li9 0.4393 0.8067 0.4393 1
Li10 0.5000 0.0000 0.0000 1
Li11 0.5607 0.1933 0.5607 1
Li12 0.5607 0.5607 0.1933 1
Li13 0.6954 0.0000 0.3046 1
Li14 0.6954 0.3046 0.0000 1
Li15 0.8067 0.4393 0.4393 1
Zn1 0.0833 0.0833 0.0833 1
Zn2 0.9167 0.9167 0.9167 1
Au1 0.2971 0.2971 0.2971 1
Au2 0.7029 0.7029 0.7029 1
```

Results
final energy: -2.073 eV per atom
ΔH_f (0 K): -83 meV per atom

# 3
Entry from the Alexandria database: Ba2EuTl after structural relaxation (PBE).

```
data_Ba2EuTl
_chemical_formula_sum 'Ba2 Eu1 Tl1'
_space_group_name_H-M_alt 'P 1'
_space_group_IT_number 1
_cell_length_a 6.2710
_cell_length_b 6.2710
_cell_length_c 6.2710
_cell_angle_alpha 60.00
_cell_angle_beta 60.00
_cell_angle_gamma 60.00
loop_
_space_group_symop_operation_xyz
'x,y,z'
loop_
_atom_site_label
_atom_site_fract_x
_atom_site_fract_y
_atom_site_fract_z
_atom_site_occupancy
Ba1 0.2500 0.2500 0.2500 1
Ba2 0.7500 0.7500 0.7500 1
Eu1 0.0000 0.0000 0.0000 1
Tl1 0.5000 0.5000 0.5000 1
```

Results
final energy: -4.226 eV per atom
ΔH_f (0 K): -105 meV per atom
polymorph energy (0 for the lowest one): 72.7 meV/atom

# 4
Entry from the Alexandria database: AcCu2Sb2 after structural relaxation (PBE).

```
data_AcCu2Sb2
_chemical_formula_sum 'Ac2 Cu4 Sb4'
_space_group_name_H-M_alt 'P 1'
_space_group_IT_number 1
_cell_length_a 4.7598
_cell_length_b 4.7598
_cell_length_c 10.2467
_cell_angle_alpha 90.00
_cell_angle_beta 90.00
_cell_angle_gamma 90.00
loop_
_space_group_symop_operation_xyz
'x,y,z'
loop_
_atom_site_label
_atom_site_fract_x
_atom_site_fract_y
_atom_site_fract_z
_atom_site_occupancy
Ac1 0.2500 0.2500 0.2392 1
Ac2 0.7500 0.7500 0.7608 1
Cu1 0.2500 0.2500 0.6234 1
Cu2 0.2500 0.7500 0.0000 1
Cu3 0.7500 0.2500 0.0000 1
Cu4 0.7500 0.7500 0.3766 1
Sb1 0.2500 0.2500 0.8737 1
Sb2 0.2500 0.7500 0.5000 1
Sb3 0.7500 0.2500 0.5000 1
Sb4 0.7500 0.7500 0.1263 1
```

Results
energy relative to the elements, uncorrected: -0.511 eV/atom
final energy: -4.620 eV per atom
polymorph energy (0 for the lowest one): 0.0 meV/atom

# 5
Entry from the Alexandria database: PrDyCo4 after structural relaxation (PBE).

```
data_PrDyCo4
_chemical_formula_sum 'Pr1 Dy1 Co4'
_space_group_name_H-M_alt 'P 1'
_space_group_IT_number 1
_cell_length_a 3.8751
_cell_length_b 4.1484
_cell_length_c 6.7234
_cell_angle_alpha 90.00
_cell_angle_beta 90.00
_cell_angle_gamma 90.00
loop_
_space_group_symop_operation_xyz
'x,y,z'
loop_
_atom_site_label
_atom_site_fract_x
_atom_site_fract_y
_atom_site_fract_z
_atom_site_occupancy
Pr1 0.0000 0.0000 0.0000 1
Dy1 0.5000 0.0000 0.5000 1
Co1 0.0000 0.5000 0.3359 1
Co2 0.0000 0.5000 0.6641 1
Co3 0.5000 0.5000 0.1701 1
Co4 0.5000 0.5000 0.8299 1
```

Results
final energy: -6.409 eV per atom
ΔH_f (0 K): -108 meV per atom
polymorph energy (0 for the lowest one): 0.0 meV/atom

# 6
Entry from the Alexandria database: Tb2PrEr2Sc2 after structural relaxation (PBE).

```
data_Tb2PrEr2Sc2
_chemical_formula_sum 'Tb2 Pr1 Er2 Sc2'
_space_group_name_H-M_alt 'P 1'
_space_group_IT_number 1
_cell_length_a 11.7199
_cell_length_b 11.7199
_cell_length_c 11.7199
_cell_angle_alpha 163.17
_cell_angle_beta 153.22
_cell_angle_gamma 31.80
loop_
_space_group_symop_operation_xyz
'x,y,z'
loop_
_atom_site_label
_atom_site_fract_x
_atom_site_fract_y
_atom_site_fract_z
_atom_site_occupancy
Tb1 0.0734 0.0734 0.0000 1
Tb2 0.9266 0.9266 0.0000 1
Pr1 0.5000 0.5000 0.0000 1
Er1 0.2083 0.7083 0.5000 1
Er2 0.7917 0.2917 0.5000 1
Sc1 0.3538 0.8538 0.5000 1
Sc2 0.6462 0.1462 0.5000 1
```

Results
final energy: -5.040 eV per atom
ΔH_f (0 K): 78 meV per atom

# 7
Entry from the Alexandria database: HfCoRh after structural relaxation (PBE).

```
data_HfCoRh
_chemical_formula_sum 'Hf2 Co2 Rh2'
_space_group_name_H-M_alt 'P 1'
_space_group_IT_number 1
_cell_length_a 6.9553
_cell_length_b 6.9553
_cell_length_c 6.9553
_cell_angle_alpha 35.78
_cell_angle_beta 35.78
_cell_angle_gamma 35.78
loop_
_space_group_symop_operation_xyz
'x,y,z'
loop_
_atom_site_label
_atom_site_fract_x
_atom_site_fract_y
_atom_site_fract_z
_atom_site_occupancy
Hf1 0.0825 0.0825 0.0825 1
Hf2 0.9175 0.9175 0.9175 1
Co1 0.2079 0.2079 0.2079 1
Co2 0.7921 0.7921 0.7921 1
Rh1 0.3390 0.3390 0.3390 1
Rh2 0.6610 0.6610 0.6610 1
```

Results
final energy: -8.133 eV per atom
ΔH_f (0 K): 4 meV per atom
polymorph energy (0 for the lowest one): 385.5 meV/atom

# 8
Entry from the Alexandria database: PuTiTlPb after structural relaxation (PBE).

```
data_PuTiTlPb
_chemical_formula_sum 'Pu1 Ti1 Tl1 Pb1'
_space_group_name_H-M_alt 'P 1'
_space_group_IT_number 1
_cell_length_a 5.1988
_cell_length_b 5.1988
_cell_length_c 5.1988
_cell_angle_alpha 60.00
_cell_angle_beta 60.00
_cell_angle_gamma 60.00
loop_
_space_group_symop_operation_xyz
'x,y,z'
loop_
_atom_site_label
_atom_site_fract_x
_atom_site_fract_y
_atom_site_fract_z
_atom_site_occupancy
Pu1 0.0000 0.0000 0.0000 1
Ti1 0.5000 0.5000 0.5000 1
Tl1 0.2500 0.2500 0.2500 1
Pb1 0.7500 0.7500 0.7500 1
```

Results
final energy: -6.969 eV per atom
ΔH_f (0 K): 107 meV per atom

# 9
Entry from the Alexandria database: Te2PdRhN after structural relaxation (PBE).

```
data_Te2PdRhN
_chemical_formula_sum 'Te2 Pd1 Rh1 N1'
_space_group_name_H-M_alt 'P 1'
_space_group_IT_number 1
_cell_length_a 5.3982
_cell_length_b 5.3982
_cell_length_c 3.6234
_cell_angle_alpha 90.00
_cell_angle_beta 90.00
_cell_angle_gamma 90.00
loop_
_space_group_symop_operation_xyz
'x,y,z'
loop_
_atom_site_label
_atom_site_fract_x
_atom_site_fract_y
_atom_site_fract_z
_atom_site_occupancy
Te1 0.0000 0.5000 0.0000 1
Te2 0.5000 0.0000 0.0000 1
Pd1 0.0000 0.0000 0.0000 1
Rh1 0.5000 0.5000 0.5000 1
N1 0.0000 0.0000 0.5000 1
```

Results
energy relative to the elements, uncorrected: 0.845 eV/atom
final energy: -4.585 eV per atom
polymorph energy (0 for the lowest one): 440.2 meV/atom

# 10
Entry from the Alexandria database: PmIr4Pb after structural relaxation (PBE).

```
data_PmIr4Pb
_chemical_formula_sum 'Pm1 Ir4 Pb1'
_space_group_name_H-M_alt 'P 1'
_space_group_IT_number 1
_cell_length_a 5.4118
_cell_length_b 5.4118
_cell_length_c 5.4118
_cell_angle_alpha 60.00
_cell_angle_beta 60.00
_cell_angle_gamma 60.00
loop_
_space_group_symop_operation_xyz
'x,y,z'
loop_
_atom_site_label
_atom_site_fract_x
_atom_site_fract_y
_atom_site_fract_z
_atom_site_occupancy
Pm1 0.0000 0.0000 0.0000 1
Ir1 0.3754 0.3754 0.3754 1
Ir2 0.3754 0.3754 0.8738 1
Ir3 0.3754 0.8738 0.3754 1
Ir4 0.8738 0.3754 0.3754 1
Pb1 0.7500 0.7500 0.7500 1
```

Results
final energy: -7.560 eV per atom
ΔH_f (0 K): -243 meV per atom

# 11
Entry from the Alexandria database: GaHgBi2 after structural relaxation (PBE).

```
data_GaHgBi2
_chemical_formula_sum 'Ga2 Hg2 Bi4'
_space_group_name_H-M_alt 'P 1'
_space_group_IT_number 1
_cell_length_a 7.9593
_cell_length_b 7.9593
_cell_length_c 7.9593
_cell_angle_alpha 130.11
_cell_angle_beta 130.11
_cell_angle_gamma 73.23
loop_
_space_group_symop_operation_xyz
'x,y,z'
loop_
_atom_site_label
_atom_site_fract_x
_atom_site_fract_y
_atom_site_fract_z
_atom_site_occupancy
Ga1 0.0000 0.0000 0.0000 1
Ga2 0.7500 0.2500 0.5000 1
Hg1 0.2500 0.7500 0.5000 1
Hg2 0.5000 0.5000 0.0000 1
Bi1 0.1061 0.6250 0.9811 1
Bi2 0.3750 0.3561 0.4811 1
Bi3 0.6439 0.1250 0.0189 1
Bi4 0.8750 0.8939 0.5189 1
```

Results
final energy: -2.639 eV per atom
ΔH_f (0 K): 133 meV per atom

# 12
Entry from the Alexandria database: Pm2SmRh3 after structural relaxation (PBE).

```
data_Pm2SmRh3
_chemical_formula_sum 'Pm2 Sm1 Rh3'
_space_group_name_H-M_alt 'P 1'
_space_group_IT_number 1
_cell_length_a 4.9705
_cell_length_b 4.9705
_cell_length_c 6.0731
_cell_angle_alpha 90.00
_cell_angle_beta 90.00
_cell_angle_gamma 120.00
loop_
_space_group_symop_operation_xyz
'x,y,z'
loop_
_atom_site_label
_atom_site_fract_x
_atom_site_fract_y
_atom_site_fract_z
_atom_site_occupancy
Pm1 0.3333 0.6667 0.1670 1
Pm2 0.6667 0.3333 0.8330 1
Sm1 0.0000 0.0000 0.5000 1
Rh1 0.0000 0.0000 0.0000 1
Rh2 0.3333 0.6667 0.6651 1
Rh3 0.6667 0.3333 0.3349 1
```

Results
final energy: -6.746 eV per atom
ΔH_f (0 K): -701 meV per atom
polymorph energy (0 for the lowest one): 0.0 meV/atom

# 13
Entry from the Alexandria database: Er6In2Pt after structural relaxation (PBE).

```
data_Er6In2Pt
_chemical_formula_sum 'Er6 In2 Pt1'
_space_group_name_H-M_alt 'P 1'
_space_group_IT_number 1
_cell_length_a 3.7926
_cell_length_b 8.6305
_cell_length_c 8.6305
_cell_angle_alpha 119.99
_cell_angle_beta 90.00
_cell_angle_gamma 90.00
loop_
_space_group_symop_operation_xyz
'x,y,z'
loop_
_atom_site_label
_atom_site_fract_x
_atom_site_fract_y
_atom_site_fract_z
_atom_site_occupancy
Er1 0.0000 0.0000 0.0000 1
Er2 0.0000 0.5053 0.7519 1
Er3 0.0000 0.7519 0.5053 1
Er4 0.5000 0.1444 0.7522 1
Er5 0.5000 0.3598 0.3598 1
Er6 0.5000 0.7522 0.1444 1
In1 0.0000 0.0855 0.4191 1
In2 0.0000 0.4191 0.0855 1
Pt1 0.5000 0.7531 0.7531 1
```

Results
final energy: -4.862 eV per atom
ΔH_f (0 K): -540 meV per atom
polymorph energy (0 for the lowest one): 0.0 meV/atom

# 14
Entry from the Alexandria database: TlInSe2 after structural relaxation (PBE).

```
data_TlInSe2
_chemical_formula_sum 'Tl2 In2 Se4'
_space_group_name_H-M_alt 'P 1'
_space_group_IT_number 1
_cell_length_a 6.7647
_cell_length_b 6.7647
_cell_length_c 6.7647
_cell_angle_alpha 105.97
_cell_angle_beta 105.97
_cell_angle_gamma 116.73
loop_
_space_group_symop_operation_xyz
'x,y,z'
loop_
_atom_site_label
_atom_site_fract_x
_atom_site_fract_y
_atom_site_fract_z
_atom_site_occupancy
Tl1 0.2500 0.7500 0.5000 1
Tl2 0.7500 0.2500 0.5000 1
In1 0.2500 0.2500 0.0000 1
In2 0.7500 0.7500 0.0000 1
Se1 0.1808 0.6808 0.8615 1
Se2 0.3192 0.1808 0.5000 1
Se3 0.6808 0.8192 0.5000 1
Se4 0.8192 0.3192 0.1385 1
```

Results
energy relative to the elements, uncorrected: -0.195 eV/atom
final energy: -3.214 eV per atom

# 15
Entry from the Alexandria database: Nd3Ag after structural relaxation (PBE).

```
data_Nd3Ag
_chemical_formula_sum 'Nd3 Ag1'
_space_group_name_H-M_alt 'P 1'
_space_group_IT_number 1
_cell_length_a 6.6748
_cell_length_b 6.6748
_cell_length_c 6.6748
_cell_angle_alpha 146.55
_cell_angle_beta 61.03
_cell_angle_gamma 130.55
loop_
_space_group_symop_operation_xyz
'x,y,z'
loop_
_atom_site_label
_atom_site_fract_x
_atom_site_fract_y
_atom_site_fract_z
_atom_site_occupancy
Nd1 0.0000 0.0000 0.0000 1
Nd2 0.2827 0.5018 0.7809 1
Nd3 0.7209 0.5018 0.2191 1
Ag1 0.4984 0.9984 0.5000 1
```

Results
final energy: -4.376 eV per atom
ΔH_f (0 K): -87 meV per atom
polymorph energy (0 for the lowest one): 0.0 meV/atom